# BC2

BC2 after structural relaxation (GGA-PBE, Alexandria). Values from VASP.

Summary:
Symmetry: Pmn2_1
Energy of formation: 0.315 eV per atom

Structure (Quantum ESPRESSO input):
```
&SYSTEM
  ibrav = 0, nat = 12, ntyp = 2
/
ATOMIC_SPECIES
C 12.01 C.upf
B 10.81 B.upf
CELL_PARAMETERS angstrom
-2.0395 -1.3163 1.0675
2.1015 -0.8823 2.9273
-2.4103 6.8000 3.7799
ATOMIC_POSITIONS crystal
C 0.5000 0.5125 0.5054
C 0.5000 0.7632 0.6722
C 0.0000 0.2632 0.8278
C 0.0000 0.9994 0.6733
C 0.5000 0.7448 0.3468
C 0.0000 0.0125 0.9946
C 0.0000 0.2448 0.1532
C 0.5000 0.4994 0.8267
B 0.0000 0.9274 0.2968
B 0.5000 0.4274 0.2032
B 0.0000 0.3028 0.5389
B 0.5000 0.8028 0.9611
```


# Ti4InHg

Ti4InHg after structural relaxation (GGA-PBE, Alexandria). Values from VASP.

Summary:
Symmetry: P4/mmm
Energy of formation: -0.091 eV per atom

Structure (Quantum ESPRESSO input):
```
&SYSTEM
  ibrav = 0, nat = 6, ntyp = 3
/
ATOMIC_SPECIES
Ti 47.87 Ti.upf
In 114.82 In.upf
Hg 200.59 Hg.upf
CELL_PARAMETERS angstrom
3.2499 -0.4182 -0.1877
0.4075 3.2512 -0.1877
0.6579 0.5095 10.2361
ATOMIC_POSITIONS crystal
Ti 0.5000 0.5000 0.8276
Ti 0.0000 0.0000 0.6753
Ti 0.5000 0.5000 0.1724
Ti 0.0000 0.0000 0.3247
In 0.5000 0.5000 0.5000
Hg 0.0000 0.0000 0.0000
```


# Ac7Mg2Ir2

Ac7Mg2Ir2 after structural relaxation (GGA-PBE, Alexandria). Values from VASP.

Summary:
Symmetry: Imm2
Energy of formation: -0.251 eV per atom

Structure (Quantum ESPRESSO input):
```
&SYSTEM
  ibrav = 0, nat = 11, ntyp = 3
/
ATOMIC_SPECIES
Ac 227.00 Ac.upf
Ir 192.22 Ir.upf
Mg 24.30 Mg.upf
CELL_PARAMETERS angstrom
-2.0413 5.7621 8.5345
2.0413 -5.7621 8.5345
2.0413 5.7621 -8.5345
ATOMIC_POSITIONS crystal
Ac 0.4402 0.1552 0.2851
Ac 0.7550 0.8577 0.8973
Ac 0.7642 0.6779 0.0863
Ac 0.1299 0.8448 0.2851
Ac 0.0396 0.1423 0.8973
Ac 0.1023 0.5000 0.6023
Ac 0.4084 0.3221 0.0863
Ir 0.2671 0.6845 0.5826
Ir 0.8982 0.3155 0.5826
Mg 0.4182 0.5000 0.9182
Mg 0.6307 0.0000 0.6307
```


# Si2Ni2Pd

Si2Ni2Pd after structural relaxation (GGA-PBE, Alexandria). Values from VASP.

Summary:
Symmetry: P4/mbm
Formation energy without anion corrections: -2.6 eV/f.u.

Structure (Quantum ESPRESSO input):
```
&SYSTEM
  ibrav = 0, nat = 10, ntyp = 3
/
ATOMIC_SPECIES
Ni 58.69 Ni.upf
Si 28.09 Si.upf
Pd 106.42 Pd.upf
CELL_PARAMETERS angstrom
-1.6998 0.9547 -6.3126
2.7316 -5.7957 -1.6120
-2.4550 -1.2868 0.4665
ATOMIC_POSITIONS crystal
Ni 0.3607 0.1393 0.5000
Ni 0.6393 0.8607 0.5000
Ni 0.1393 0.6393 0.5000
Ni 0.8607 0.3607 0.5000
Si 0.3492 0.8492 0.0000
Si 0.8492 0.6508 0.0000
Si 0.6508 0.1508 0.0000
Si 0.1508 0.3492 0.0000
Pd 0.0000 0.0000 0.0000
Pd 0.5000 0.5000 0.0000
```


# AlInFe2

AlInFe2 after structural relaxation (GGA-PBE, Alexandria). Values from VASP.

Summary:
Symmetry: Cm
Energy of formation: 0.068 eV per atom

Structure (Quantum ESPRESSO input):
```
&SYSTEM
  ibrav = 0, nat = 4, ntyp = 3
/
ATOMIC_SPECIES
Fe 55.84 Fe.upf
In 114.82 In.upf
Al 26.98 Al.upf
CELL_PARAMETERS angstrom
-4.7897 1.4509 1.0267
-4.0843 -1.0274 2.8919
-0.4310 2.4705 3.4453
ATOMIC_POSITIONS crystal
Fe 0.7272 0.7272 0.7734
Fe 0.0167 0.0167 0.9824
In 0.4895 0.4895 0.5096
Al 0.2667 0.2667 0.2347
```


# TbPr3Sm2

TbPr3Sm2 after structural relaxation (GGA-PBE, Alexandria). Values from VASP.

Summary:
Symmetry: Ibam
Energy of formation: 0.553 eV per atom

Structure (Quantum ESPRESSO input):
```
&SYSTEM
  ibrav = 0, nat = 12, ntyp = 3
/
ATOMIC_SPECIES
Sm 150.36 Sm.upf
Pr 140.91 Pr.upf
Tb 158.93 Tb.upf
CELL_PARAMETERS angstrom
0.3830 9.8945 5.5064
-1.9867 1.7767 8.6020
4.8466 2.2684 7.2431
ATOMIC_POSITIONS crystal
Sm 0.9393 0.3052 0.3052
Sm 0.5496 0.1948 0.1948
Sm 0.4504 0.8052 0.8052
Sm 0.0607 0.6948 0.6948
Pr 0.2341 0.0159 0.5159
Pr 0.5000 0.7500 0.2500
Pr 0.7659 0.9841 0.4841
Pr 0.7659 0.4841 0.9841
Pr 0.5000 0.2500 0.7500
Pr 0.2341 0.5159 0.0159
Tb 0.0000 0.5000 0.5000
Tb 0.0000 0.0000 0.0000
```


# Ti2NiPt

Ti2NiPt after structural relaxation (GGA-PBE, Alexandria). Values from VASP.

Summary:
Symmetry: P2_1/m
Energy of formation: -0.648 eV per atom

Structure (Quantum ESPRESSO input):
```
&SYSTEM
  ibrav = 0, nat = 8, ntyp = 3
/
ATOMIC_SPECIES
Ti 47.87 Ti.upf
Ni 58.69 Ni.upf
Pt 195.08 Pt.upf
CELL_PARAMETERS angstrom
2.9991 0.0001 -0.3598
0.0000 4.1752 0.0007
0.6964 -0.0015 9.6294
ATOMIC_POSITIONS crystal
Ti 0.7686 0.7500 0.6101
Ti 0.2014 0.7500 0.0991
Ti 0.7986 0.2500 0.9009
Ti 0.2314 0.2500 0.3899
Ni 0.6984 0.2500 0.1553
Ni 0.3016 0.7500 0.8447
Pt 0.2765 0.2500 0.6678
Pt 0.7235 0.7500 0.3322
```


# LaAlTl2

LaAlTl2 after structural relaxation (GGA-PBE, Alexandria). Values from VASP.

Summary:
Symmetry: P4/mmm
Energy of formation: -0.113 eV per atom

Structure (Quantum ESPRESSO input):
```
&SYSTEM
  ibrav = 0, nat = 4, ntyp = 3
/
ATOMIC_SPECIES
Tl 204.38 Tl.upf
Al 26.98 Al.upf
La 138.91 La.upf
CELL_PARAMETERS angstrom
-0.0309 1.6499 3.4610
0.5257 -3.4266 1.6382
7.2975 0.9372 -0.3817
ATOMIC_POSITIONS crystal
Tl 0.0000 0.0000 0.0369
Tl 0.0000 0.0000 0.4631
Al 0.5000 0.5000 0.2500
La 0.5000 0.5000 0.7500
```


Quick rundown of VASP energy, same order as above: -8.060; -5.861; -4.767; -6.047; -5.783; -4.182; -7.551; -3.464 eV per atom